# 1
Entry from the Alexandria database: Y2FeCo after structural relaxation (PBE).

Cell and atoms, written as CIF:
```
data_Y2FeCo
_cell_length_a 6.678
_cell_length_b 6.678
_cell_length_c 6.678
_cell_angle_alpha 90.00
_cell_angle_beta 90.00
_cell_angle_gamma 90.00
_space_group_name_H-M_alt 'F m -3 m'
_space_group_IT_number 225
_space_group_name_Hall '-F 4 2 3'
loop_
_atom_site_label
_atom_site_fract_x
_atom_site_fract_y
_atom_site_fract_z
Y1 0.250 0.250 0.250
Fe1 0.000 0.000 0.000
Co1 0.000 0.000 0.500
```

* excess energy over the best structure of this formula in the dataset: 226 meV per atom

=====

# 2
Entry from the Alexandria database: La4Pr2Sc after structural relaxation (PBE).

Cell and atoms, written as CIF:
```
data_La4Pr2Sc
_cell_length_a 6.346
_cell_length_b 8.159
_cell_length_c 9.661
_cell_angle_alpha 90.05
_cell_angle_beta 90.05
_cell_angle_gamma 104.84
_space_group_name_H-M_alt 'P 1'
_space_group_IT_number 1
loop_
_space_group_symop_operation_xyz
'x,y,z'
loop_
_atom_site_label
_atom_site_fract_x
_atom_site_fract_y
_atom_site_fract_z
La1 0.000 0.000 0.000
La2 0.001 0.496 0.494
La3 0.294 0.374 0.786
La4 0.434 0.288 0.425
La5 0.575 0.725 0.571
La6 0.579 0.211 0.069
La7 0.717 0.659 0.211
La8 0.861 0.583 0.856
Pr1 0.147 0.935 0.640
Pr2 0.148 0.435 0.140
Pr3 0.294 0.868 0.280
Pr4 0.720 0.144 0.710
Sc1 0.431 0.793 0.925
Sc2 0.864 0.077 0.355
```

=====

The calculated total energy results, record by record, are as follows: -7.03, -5.05 eV per atom.
The energy of formation results, record by record, are as follows: 0.098, 0.033 eV per atom.
The theoretical density results, record by record, are as follows: 6526, 6061 kg/m³.